[1]
HoCo3: optimized geometry, PBE.

- Electronic total energy: -80.00 eV for the cell shown
- D(E_F): 1.3475 states/eV/atom
- Space group: C2/m, No. 12
- Calculated formation energy: -193 meV/atom

```
data_HoCo3
_chemical_formula_sum 'Ho3 Co9'
_cell_length_a 4.965
_cell_length_b 4.965
_cell_length_c 8.592
_cell_angle_alpha 73.18
_cell_angle_beta 73.18
_cell_angle_gamma 59.97
_symmetry_space_group_name_H-M 'P 1'
_symmetry_Int_Tables_number 1
loop_
_symmetry_equiv_pos_as_xyz
'x,y,z'
loop_
_atom_site_label
_atom_site_fract_x
_atom_site_fract_y
_atom_site_fract_z
Co1 0.417 0.922 0.244
Co2 0.334 0.334 0.995
Co3 0.583 0.078 0.756
Co4 0.500 0.500 0.500
Co5 0.922 0.417 0.244
Co6 0.583 0.583 0.756
Co7 0.078 0.583 0.756
Co8 0.666 0.666 0.005
Co9 0.417 0.417 0.244
Ho1 0.000 0.000 0.000
Ho2 0.140 0.140 0.581
Ho3 0.860 0.860 0.419
```

=====

[2]
SbRh3O6: optimized geometry, PBE.

- Electronic total energy: -123.79 eV for the cell shown
- D(E_F): 0.1323 states/eV/atom
- ΔE_f (raw): -597.1 meV per atom
- Space group: P2_1/c, No. 14

```
data_SbRh3O6
_chemical_formula_sum 'Sb2 Rh6 O12'
_cell_length_a 5.416
_cell_length_b 5.638
_cell_length_c 7.830
_cell_angle_alpha 90.00
_cell_angle_beta 90.41
_cell_angle_gamma 90.00
_symmetry_space_group_name_H-M 'P 1'
_symmetry_Int_Tables_number 1
loop_
_symmetry_equiv_pos_as_xyz
'x,y,z'
loop_
_atom_site_label
_atom_site_fract_x
_atom_site_fract_y
_atom_site_fract_z
Rh1 0.500 0.065 0.199
Rh2 0.500 0.935 0.801
Rh3 0.500 0.500 0.000
Rh4 0.000 0.565 0.301
Rh5 0.000 0.000 0.500
Rh6 0.000 0.435 0.699
Sb1 0.500 0.500 0.500
Sb2 0.000 0.000 0.000
O1 0.293 0.815 0.388
O2 0.355 0.818 0.039
O3 0.145 0.318 0.461
O4 0.844 0.914 0.253
O5 0.793 0.685 0.888
O6 0.645 0.182 0.961
O7 0.707 0.185 0.612
O8 0.855 0.682 0.539
O9 0.207 0.315 0.112
O10 0.156 0.086 0.747
O11 0.656 0.414 0.247
O12 0.344 0.586 0.753
```

=====

[3]
LiDyMg11: optimized geometry, PBE.

- Electronic total energy: -24.30 eV for the cell shown
- D(E_F): 0.6087 states/eV/atom
- Space group: C2/m, No. 12
- Calculated formation energy: -19 meV/atom

```
data_LiDyMg11
_chemical_formula_sum 'Li1 Dy1 Mg11'
_cell_length_a 5.860
_cell_length_b 7.745
_cell_length_c 7.761
_cell_angle_alpha 82.07
_cell_angle_beta 67.82
_cell_angle_gamma 68.56
_symmetry_space_group_name_H-M 'P 1'
_symmetry_Int_Tables_number 1
loop_
_symmetry_equiv_pos_as_xyz
'x,y,z'
loop_
_atom_site_label
_atom_site_fract_x
_atom_site_fract_y
_atom_site_fract_z
Mg1 0.297 0.214 0.209
Mg2 0.000 0.500 0.000
Mg3 0.002 0.648 0.348
Mg4 0.703 0.786 0.791
Mg5 0.350 0.648 0.652
Mg6 0.500 0.000 0.500
Mg7 0.494 0.786 0.209
Mg8 0.000 0.000 0.500
Mg9 0.998 0.352 0.652
Mg10 0.650 0.352 0.348
Mg11 0.506 0.214 0.791
Dy1 0.000 0.000 0.000
Li1 0.500 0.500 0.000
```

=====

[4]
Pu3BiTe2: optimized geometry, PBE.

- Electronic total energy: -58.25 eV for the cell shown
- D(E_F): 6.0083 states/eV/atom
- ΔE_f (raw): -847.6 meV per atom
- Space group: Immm, No. 71

```
data_Pu3BiTe2
_chemical_formula_sum 'Pu3 Bi1 Te2'
_cell_length_a 4.489
_cell_length_b 6.336
_cell_length_c 7.752
_cell_angle_alpha 114.12
_cell_angle_beta 106.83
_cell_angle_gamma 90.00
_symmetry_space_group_name_H-M 'P 1'
_symmetry_Int_Tables_number 1
loop_
_symmetry_equiv_pos_as_xyz
'x,y,z'
loop_
_atom_site_label
_atom_site_fract_x
_atom_site_fract_y
_atom_site_fract_z
Pu1 0.000 0.000 0.000
Pu2 0.331 0.331 0.661
Pu3 0.669 0.669 0.339
Bi1 0.000 0.500 0.000
Te1 0.666 0.166 0.332
Te2 0.334 0.834 0.668
```